DFT (PBE) results for a relaxed structure of NdSc4Al5.

```
NdSc4Al5
1.0
3.443 0.000 0.000
0.000 3.443 0.000
0.000 0.000 17.288
Sc Al Nd
4 5 1
Cartesian
0.000 0.000 3.711 Sc
0.000 0.000 13.577 Sc
0.000 0.000 10.283 Sc
0.000 0.000 7.006 Sc
1.721 1.721 15.192 Al
1.721 1.721 8.644 Al
1.721 1.721 5.361 Al
1.721 1.721 2.097 Al
1.721 1.721 11.927 Al
0.000 0.000 0.000 Nd
```

DFT total energy: -53.0 eV/cell
SG: P4/mmm (123)



DFT (PBE) results for a relaxed structure of Nd4ScAl5.

```
Nd4ScAl5
1.0
-0.405 3.551 0.626
-2.254 -0.741 2.745
14.467 -0.424 11.762
Nd Al Sc
4 5 1
Cartesian
8.743 -0.256 7.108 Nd
2.714 -0.080 2.207 Nd
11.753 -0.345 9.555 Nd
5.724 -0.168 4.654 Nd
2.887 1.282 5.113 Al
-0.174 1.371 2.625 Al
5.904 1.193 7.567 Al
8.922 1.105 10.020 Al
11.982 1.015 12.509 Al
0.000 0.000 0.000 Sc
```

DFT total energy: -47.8 eV/cell
SG: P4/mmm (123)



DFT (PBE) results for a relaxed structure of NdSc5Al6.

```
NdSc5Al6
1.0
-0.484 3.397 -3.765
6.455 -0.166 -0.979
-3.835 -7.281 -2.271
Al Sc Nd
6 5 1
Cartesian
-2.351 -1.672 -4.980 Al
4.415 1.579 -2.589 Al
1.453 -2.300 -1.575 Al
0.682 -1.749 -5.440 Al
-2.280 -5.629 -4.426 Al
4.486 -2.378 -2.036 Al
-0.599 -3.478 -3.361 Sc
3.227 -0.083 -0.490 Sc
2.735 -0.572 -3.654 Sc
2.622 -3.731 -3.864 Sc
-0.487 -0.318 -3.152 Sc
0.000 0.000 0.000 Nd
```

DFT total energy: -63.9 eV/cell
SG: C2/m (12)



DFT (PBE) results for a relaxed structure of NdSc2Al.

```
NdSc2Al
1.0
3.365 0.000 0.000
0.000 3.365 0.000
0.000 0.000 8.622
Al Sc Nd
1 2 1
Cartesian
1.683 1.683 0.000 Al
0.000 0.000 1.767 Sc
0.000 0.000 6.855 Sc
1.683 1.683 4.311 Nd
```

DFT total energy: -22.0 eV/cell
SG: P4/mmm (123)



DFT (PBE) results for a relaxed structure of Nd12Sc5Al3.

```
Nd12Sc5Al3
1.0
15.509 0.000 0.000
-5.170 14.622 0.000
-5.170 -7.311 12.663
Sc Nd Al
20 48 12
Cartesian
6.462 3.656 9.498 Sc
3.877 2.742 1.583 Sc
1.292 -3.656 9.498 Sc
7.755 0.000 0.000 Sc
-3.877 8.225 4.749 Sc
5.170 -3.656 6.332 Sc
2.585 3.656 6.332 Sc
0.000 0.000 0.000 Sc
-2.585 7.311 0.000 Sc
-5.170 3.656 6.332 Sc
6.462 -4.569 11.080 Sc
9.047 -0.914 7.915 Sc
-1.292 3.656 3.166 Sc
-1.292 0.914 7.915 Sc
-2.585 -3.656 6.332 Sc
1.292 4.569 11.080 Sc
-1.292 11.881 1.583 Sc
6.462 6.397 4.749 Sc
3.877 10.967 3.166 Sc
5.170 7.311 0.000 Sc
-5.097 5.742 11.834 Nd
7.828 3.722 4.558 Nd
11.239 3.293 3.413 Nd
-5.501 0.116 10.574 Nd
1.943 5.819 8.421 Nd
-1.685 4.965 10.890 Nd
7.113 8.076 7.161 Nd
-2.658 3.589 8.105 Nd
10.413 -3.589 8.105 Nd
6.855 2.346 1.773 Nd
2.916 9.178 0.944 Nd
-0.331 5.444 0.944 Nd
4.528 -1.492 4.243 Nd
10.671 7.195 2.089 Nd
-4.270 12.276 1.773 Nd
-5.243 10.901 4.558 Nd
6.069 -0.947 7.477 Nd
0.642 8.803 8.421 Nd
-1.943 -0.765 5.502 Nd
3.227 1.492 4.243 Nd
5.812 6.584 9.745 Nd
-3.227 8.038 9.745 Nd
7.828 13.054 0.829 Nd
7.424 7.427 2.089 Nd
-6.069 4.018 9.250 Nd
1.685 0.947 7.477 Nd
2.512 9.464 5.388 Nd
2.254 -1.867 11.720 Nd
10.266 1.569 0.829 Nd
2.658 -2.153 7.276 Nd
-0.900 8.258 5.187 Nd
5.501 -1.751 11.518 Nd
5.501 1.867 11.720 Nd
6.855 11.329 3.413 Nd
-2.254 -0.116 10.574 Nd
-0.331 9.062 1.145 Nd
-0.642 0.727 2.918 Nd
-1.685 -4.018 9.250 Nd
5.097 2.153 7.276 Nd
9.698 0.765 5.502 Nd
3.484 6.364 5.187 Nd
0.073 5.158 5.388 Nd
2.916 5.560 1.145 Nd
9.440 -4.965 10.890 Nd
-2.658 -5.742 11.834 Nd
-4.528 6.547 7.161 Nd
8.396 -0.727 2.918 Nd
2.254 1.751 11.518 Nd
6.462 0.914 4.749 Al
1.292 -0.914 4.749 Al
11.632 0.000 3.166 Al
3.877 8.225 7.915 Al
-6.462 7.311 9.498 Al
-3.877 2.742 11.080 Al
3.877 0.000 9.498 Al
-3.877 -2.742 11.080 Al
9.047 4.569 1.583 Al
-1.292 6.397 7.915 Al
1.292 7.311 3.166 Al
9.047 10.053 1.583 Al
```

DFT total energy: -340.8 eV/cell
SG: Ia-3d (230)



DFT (PBE) results for a relaxed structure of NdSc2Al6.

```
NdSc2Al6
1.0
-1.764 3.903 0.292
-7.109 -0.636 -2.892
-6.437 -0.858 4.141
Al Nd Sc
6 1 2
Cartesian
-7.534 1.165 2.033 Al
-5.214 2.163 2.708 Al
-9.690 0.113 3.071 Al
-5.620 2.297 -1.531 Al
-10.096 0.247 -1.167 Al
-7.776 1.245 -0.493 Al
0.000 0.000 0.000 Nd
-9.956 2.507 1.031 Sc
-5.355 -0.097 0.509 Sc
```

DFT total energy: -42.5 eV/cell
SG: Immm (71)



DFT (PBE) results for a relaxed structure of NdScAl4.

```
NdScAl4
1.0
-5.297 -1.599 -0.281
-1.384 -5.227 1.208
-2.806 -1.120 4.644
Al Nd Sc
4 1 1
Cartesian
-5.237 -2.356 2.877 Al
-4.527 -4.405 1.162 Al
-5.927 -4.964 3.480 Al
-3.284 -4.166 3.621 Al
0.000 0.000 0.000 Nd
-2.372 -1.986 1.393 Sc
```

DFT total energy: -28.8 eV/cell
SG: F-43m (216)



DFT (PBE) results for a relaxed structure of Nd3ScAl8.

```
Nd3ScAl8
1.0
-3.907 -3.248 -2.360
-2.967 -3.555 3.155
-8.605 4.281 1.706
Al Sc Nd
8 1 3
Cartesian
-10.847 -1.692 0.340 Al
-12.324 -3.462 1.911 Al
-5.044 0.588 0.893 Al
-6.604 -3.764 -0.502 Al
-10.378 -1.845 3.086 Al
-12.804 -0.653 2.148 Al
-4.654 -2.143 0.675 Al
-6.135 -3.917 2.249 Al
-9.227 -4.362 1.332 Sc
-10.111 1.199 1.792 Nd
-6.896 -6.779 0.800 Nd
-7.727 -1.274 1.248 Nd
```

DFT total energy: -56.3 eV/cell
SG: R3m (160)



DFT (PBE) results for a relaxed structure of NdSc2Al.

```
NdSc2Al
1.0
5.145 0.000 0.000
2.572 4.456 0.000
2.572 1.485 4.202
Al Sc Nd
1 2 1
Cartesian
5.145 2.970 2.101 Al
2.572 1.485 1.052 Sc
7.717 4.456 3.150 Sc
0.000 0.000 0.000 Nd
```

DFT total energy: -21.3 eV/cell
SG: Fm-3m (225)



DFT (PBE) results for a relaxed structure of NdSc2Al.

```
NdSc2Al
1.0
4.602 0.000 0.000
0.000 4.606 0.000
0.000 0.000 4.606
Sc Al Nd
2 1 1
Cartesian
0.000 0.000 2.303 Sc
0.000 2.303 0.000 Sc
2.301 0.000 0.000 Al
2.301 2.303 2.303 Nd
```

DFT total energy: -21.9 eV/cell
SG: P4/mmm (123)



DFT (PBE) results for a relaxed structure of NdScAl.

```
NdScAl
1.0
-2.942 3.910 0.254
-2.419 0.980 4.147
3.976 5.813 3.840
Nd Sc Al
2 2 2
Cartesian
0.359 3.188 2.351 Nd
-1.745 7.515 5.890 Nd
-3.054 3.637 3.148 Sc
1.668 7.065 5.092 Sc
2.956 5.073 3.420 Al
-4.341 5.630 4.821 Al
```

DFT total energy: -30.9 eV/cell
SG: R-3m (166)



DFT (PBE) results for a relaxed structure of NdScAl.

```
NdScAl
1.0
3.366 0.000 0.000
0.000 3.366 0.000
-1.683 -1.683 6.637
Nd Al Sc
1 1 1
Cartesian
0.000 0.000 3.917 Nd
1.683 1.683 6.117 Al
1.683 1.683 1.249 Sc
```

DFT total energy: -15.5 eV/cell
SG: I4mm (107)



DFT (PBE) results for a relaxed structure of Nd3ScAl8.

```
Nd3ScAl8
1.0
-5.597 -0.067 0.240
2.700 -3.541 -3.400
0.365 -6.236 6.784
Al Nd Sc
8 3 1
Cartesian
-1.210 -6.431 3.484 Al
-1.428 -4.603 -0.958 Al
0.061 -2.747 0.668 Al
-2.527 -4.703 5.143 Al
0.299 -8.597 4.574 Al
1.450 -4.568 -1.081 Al
-3.941 -6.463 3.601 Al
0.118 -5.512 1.218 Al
0.340 -5.801 6.311 Nd
-2.672 -3.940 1.980 Nd
-2.806 -1.661 -0.499 Nd
0.208 -3.548 3.860 Sc
```

DFT total energy: -56.2 eV/cell
SG: P3m1 (156)



DFT (PBE) results for a relaxed structure of NdScAl.

```
NdScAl
1.0
3.105 0.000 0.000
0.000 5.117 0.000
0.000 -2.559 4.432
Al Nd Sc
1 1 1
Cartesian
2.070 2.559 1.477 Al
0.516 0.000 0.000 Nd
0.519 0.000 2.955 Sc
```

DFT total energy: -14.9 eV/cell
SG: P-6m2 (187)



DFT (PBE) results for a relaxed structure of NdSc2Al9.

```
NdSc2Al9
1.0
-3.501 -1.715 3.864
0.348 -5.123 1.940
4.415 0.422 8.086
Al Sc Nd
9 2 1
Cartesian
-1.948 -3.574 6.441 Al
0.022 -5.318 5.456 Al
0.631 -3.208 6.945 Al
-2.065 -4.541 3.910 Al
1.418 -3.720 9.426 Al
3.327 -1.875 9.979 Al
1.240 -1.098 8.433 Al
3.210 -2.842 7.448 Al
-0.156 -2.696 4.463 Al
2.069 -0.737 5.446 Sc
-0.807 -5.679 8.443 Sc
0.000 0.000 0.000 Nd
```

DFT total energy: -55.3 eV/cell
SG: R-3m (166)



DFT (PBE) results for a relaxed structure of NdSc5Al4.

```
NdSc5Al4
1.0
-1.751 2.485 1.476
-2.063 0.134 -2.673
-11.180 -12.632 7.996
Sc Al Nd
5 4 1
Cartesian
-11.569 -9.606 6.311 Sc
-3.426 -0.407 0.488 Sc
-9.516 -7.287 4.843 Sc
-5.479 -2.726 1.956 Sc
-7.498 -5.006 3.400 Sc
-6.601 -7.457 4.721 Al
-8.641 -9.763 6.180 Al
-2.539 -2.869 1.816 Al
-4.580 -5.174 3.275 Al
0.000 0.000 0.000 Nd
```

DFT total energy: -54.9 eV/cell
SG: P4/mmm (123)



DFT (PBE) results for a relaxed structure of Nd7ScAl4.

```
Nd7ScAl4
1.0
-4.463 -1.205 3.109
2.929 -5.045 7.241
-0.722 4.847 5.834
Nd Al Sc
7 4 1
Cartesian
-0.908 1.461 4.254 Nd
0.080 0.049 10.117 Nd
1.316 -1.937 6.129 Nd
-3.571 0.534 10.055 Nd
-1.347 -2.863 11.929 Nd
-2.336 -1.451 6.067 Nd
-2.231 -0.603 1.554 Nd
-0.494 -2.007 3.504 Al
-1.762 0.604 12.679 Al
-0.029 -2.689 8.898 Al
-2.226 1.286 7.285 Al
0.000 0.000 0.000 Sc
```

DFT total energy: -55.5 eV/cell
SG: C2/m (12)



DFT (PBE) results for a relaxed structure of NdSc2Al.

```
NdSc2Al
1.0
-2.704 0.292 -2.002
0.372 -0.038 -3.356
-1.870 -10.059 -1.791
Nd Sc Al
1 2 1
Cartesian
-2.098 -4.873 -3.575 Nd
-1.012 -2.094 -1.787 Sc
-1.637 -7.895 -1.790 Sc
-1.556 0.155 -3.573 Al
```

DFT total energy: -21.4 eV/cell
SG: R3m (160)



DFT (PBE) results for a relaxed structure of NdScAl.

```
NdScAl
1.0
-2.107 0.278 2.730
-1.587 -2.932 -0.926
10.300 -5.530 6.319
Sc Al Nd
2 2 2
Cartesian
4.881 -3.959 4.170 Sc
1.726 -4.224 3.954 Sc
4.099 -6.149 5.982 Al
2.508 -2.034 2.142 Al
7.245 -5.876 6.189 Nd
-0.638 -2.307 1.935 Nd
```

DFT total energy: -30.8 eV/cell
SG: I4/mmm (139)



DFT (PBE) results for a relaxed structure of NdScAl.

```
NdScAl
1.0
-1.383 2.390 1.943
-3.345 0.081 0.454
-0.843 -3.811 7.021
Sc Nd Al
1 1 1
Cartesian
-1.099 -2.193 4.849 Sc
-1.555 0.694 0.972 Nd
-2.884 -0.045 3.869 Al
```

DFT total energy: -14.9 eV/cell
SG: R3m (160)



no.,ρ (g/cm³),E_form (kJ per mole of atoms)
1,3.7,-40.8
2,5.1,-35.3
3,3.6,-40.2
4,4.4,-19.6
5,4.7,71.9
6,3.3,-27.9
7,4.1,-44.3
8,4.6,-46.1
9,4.5,-3.3
10,4.4,-16.9
11,4.6,-19.6
12,4.8,-21.1
13,4.6,-45.2
14,5.1,-1.3
15,3.5,-33.9
16,3.7,-33.7
17,5.6,-6.7
18,4.3,-4.5
19,4.6,-18.2
20,4.7,-2.2